(1)
Y6ErTm2Th3: relaxed, PBE-GGA.

Cell: 6.178 6.178 11.735 Å, 95.05 95.05 119.97°
Atoms (fractional coordinates):
Y 0.916 0.583 0.748
Y 0.750 0.750 0.252
Y 0.084 0.417 0.252
Y 0.583 0.916 0.748
Y 0.250 0.250 0.748
Y 0.417 0.084 0.252
Er 0.000 0.000 0.000
Tm 0.333 0.667 0.000
Tm 0.667 0.333 0.000
Th 0.167 0.833 0.500
Th 0.833 0.167 0.500
Th 0.500 0.500 0.500

Calculated values
Space group = C2/m (12)
Formation enthalpy at 0 K = 0.031 eV per atom
Total energy = -74.2 eV for the cell shown

(2)
Y2Er5TmTh: relaxed, PBE-GGA.

Cell: 5.652 11.032 9.664 Å, 90.00 90.00 104.84°
Atoms (fractional coordinates):
Y 0.886 0.771 0.826
Y 0.130 0.260 0.711
Y 0.114 0.229 0.326
Y 0.870 0.740 0.211
Er 0.398 0.795 0.040
Er 0.730 0.460 0.827
Er 0.470 0.940 0.742
Er 0.305 0.609 0.718
Er 0.985 0.970 0.518
Er 0.602 0.205 0.540
Er 0.270 0.540 0.327
Er 0.530 0.060 0.242
Er 0.695 0.391 0.218
Er 0.015 0.030 0.018
Tm 0.808 0.617 0.517
Tm 0.192 0.383 0.017
Th 0.596 0.191 0.925
Th 0.404 0.809 0.425

Calculated values
Space group = Cmc2_1 (36)
Formation enthalpy at 0 K = 0.167 eV per atom
Total energy = -92.3 eV for the cell shown

- Which value of total energy does entry 2 give?
  -92.3 eV for the cell shown